# 1
## Ba4HgBi2 (GGA-PBE)

Data for a relaxed structure of Ba4HgBi2.

ρ = 6265 kg/m3
crystal system = trigonal
energy relative to the elements = -737 meV/atom

The structure in CIF format:
```
data_Ba4HgBi2
_symmetry_space_group_name_H-M 'P 1'
_symmetry_Int_Tables_number 1
_cell_length_a 6.0370
_cell_length_b 6.0371
_cell_length_c 10.4098
_cell_angle_alpha 73.13
_cell_angle_beta 73.13
_cell_angle_gamma 59.99
loop_
_symmetry_equiv_pos_as_xyz
'x,y,z'
loop_
_atom_site_label
_atom_site_type_symbol
_atom_site_fract_x
_atom_site_fract_y
_atom_site_fract_z
Hg1 Hg 0.0000 0.0000 0.0000
Bi1 Bi 0.2464 0.2464 0.2605
Bi2 Bi 0.7536 0.7536 0.7395
Ba1 Ba 0.8768 0.8768 0.3696
Ba2 Ba 0.6271 0.6271 0.1185
Ba3 Ba 0.3729 0.3729 0.8815
Ba4 Ba 0.1232 0.1232 0.6304
```



# 2
## HfThNi10 (GGA-PBE)

Data for a relaxed structure of HfThNi10.

ρ = 10286 kg/m3
crystal system = orthorhombic
energy relative to the elements = -342 meV/atom

The structure in CIF format:
```
data_HfThNi10
_symmetry_space_group_name_H-M 'P 1'
_symmetry_Int_Tables_number 1
_cell_length_a 3.9804
_cell_length_b 4.8225
_cell_length_c 8.3885
_cell_angle_alpha 90.00
_cell_angle_beta 90.00
_cell_angle_gamma 90.00
loop_
_symmetry_equiv_pos_as_xyz
'x,y,z'
loop_
_atom_site_label
_atom_site_type_symbol
_atom_site_fract_x
_atom_site_fract_y
_atom_site_fract_z
Ni1 Ni 0.5000 0.2549 0.2592
Ni2 Ni 0.0000 0.0000 0.3419
Ni3 Ni 0.0000 0.5000 0.8211
Ni4 Ni 0.5000 0.7451 0.2592
Ni5 Ni 0.5000 0.2549 0.7408
Ni6 Ni 0.0000 0.0000 0.6581
Ni7 Ni 0.5000 0.7451 0.7408
Ni8 Ni 0.5000 0.5000 0.0000
Ni9 Ni 0.5000 0.0000 0.5000
Ni10 Ni 0.0000 0.5000 0.1789
Th1 Th 0.0000 0.0000 0.0000
Hf1 Hf 0.0000 0.5000 0.5000
```



# 3
## SrLa2Ag2 (GGA-PBE)

Data for a relaxed structure of SrLa2Ag2.

ρ = 5628 kg/m3
crystal system = tetragonal
energy relative to the elements = 36 meV/atom
ΔE to the lowest computed polymorph = 0.2209 eV per atom

The structure in CIF format:
```
data_SrLa2Ag2
_symmetry_space_group_name_H-M 'P 1'
_symmetry_Int_Tables_number 1
_cell_length_a 5.5315
_cell_length_b 5.5315
_cell_length_c 6.8345
_cell_angle_alpha 66.13
_cell_angle_beta 66.13
_cell_angle_gamma 90.00
loop_
_symmetry_equiv_pos_as_xyz
'x,y,z'
loop_
_atom_site_label
_atom_site_type_symbol
_atom_site_fract_x
_atom_site_fract_y
_atom_site_fract_z
La1 La 0.3641 0.3641 0.2719
La2 La 0.6359 0.6359 0.7281
Sr1 Sr 0.0000 0.0000 0.0000
Ag1 Ag 0.2500 0.7500 0.5000
Ag2 Ag 0.7500 0.2500 0.5000
```



# 4
## CsNaSb4 (GGA-PBE)

Data for a relaxed structure of CsNaSb4.

ρ = 5234 kg/m3
crystal system = cubic
ΔE to the lowest computed polymorph = 0.0706 eV per atom
formation energy (no corrections) = -0.10 eV/atom

The structure in CIF format:
```
data_CsNaSb4
_symmetry_space_group_name_H-M 'P 1'
_symmetry_Int_Tables_number 1
_cell_length_a 6.6076
_cell_length_b 6.6076
_cell_length_c 6.6076
_cell_angle_alpha 60.00
_cell_angle_beta 60.00
_cell_angle_gamma 60.00
loop_
_symmetry_equiv_pos_as_xyz
'x,y,z'
loop_
_atom_site_label
_atom_site_type_symbol
_atom_site_fract_x
_atom_site_fract_y
_atom_site_fract_z
Sb1 Sb 0.6294 0.6294 0.6294
Sb2 Sb 0.1118 0.6294 0.6294
Sb3 Sb 0.6294 0.6294 0.1118
Sb4 Sb 0.6294 0.1118 0.6294
Na1 Na 0.0000 0.0000 0.0000
Cs1 Cs 0.2500 0.2500 0.2500
```



# 5
## TiCu2Os (GGA-PBE)

Data for a relaxed structure of TiCu2Os.

ρ = 10292 kg/m3
crystal system = tetragonal
energy relative to the elements = 295 meV/atom
ΔE to the lowest computed polymorph = 0.1806 eV per atom

The structure in CIF format:
```
data_TiCu2Os
_symmetry_space_group_name_H-M 'P 1'
_symmetry_Int_Tables_number 1
_cell_length_a 3.5485
_cell_length_b 3.5485
_cell_length_c 9.6886
_cell_angle_alpha 79.45
_cell_angle_beta 79.45
_cell_angle_gamma 90.00
loop_
_symmetry_equiv_pos_as_xyz
'x,y,z'
loop_
_atom_site_label
_atom_site_type_symbol
_atom_site_fract_x
_atom_site_fract_y
_atom_site_fract_z
Os1 Os 0.0000 0.0000 0.0000
Os2 Os 0.7500 0.2500 0.5000
Cu1 Cu 0.3750 0.3626 0.7500
Cu2 Cu 0.6374 0.1250 0.2500
Cu3 Cu 0.1126 0.6250 0.2500
Cu4 Cu 0.8750 0.8874 0.7500
Ti1 Ti 0.2500 0.7500 0.5000
Ti2 Ti 0.5000 0.5000 0.0000
```



# 6
## Sr2AlInH (GGA-PBE)

Data for a relaxed structure of Sr2AlInH.

ρ = 4167 kg/m3
crystal system = tetragonal
energy = -2.885 eV per atom

The structure in CIF format:
```
data_Sr2AlInH
_symmetry_space_group_name_H-M 'P 1'
_symmetry_Int_Tables_number 1
_cell_length_a 5.5029
_cell_length_b 5.5029
_cell_length_c 4.1859
_cell_angle_alpha 90.00
_cell_angle_beta 90.00
_cell_angle_gamma 90.00
loop_
_symmetry_equiv_pos_as_xyz
'x,y,z'
loop_
_atom_site_label
_atom_site_type_symbol
_atom_site_fract_x
_atom_site_fract_y
_atom_site_fract_z
Sr1 Sr 0.0000 0.5000 0.0000
Sr2 Sr 0.5000 0.0000 0.0000
H1 H 0.0000 0.0000 0.0000
In1 In 0.5000 0.5000 0.5000
Al1 Al 0.0000 0.0000 0.5000
```



Question: Which of these has the lowest ρ?
Answer: Sr2AlInH